# 1
An optimized crystal structure of Sr2YNi. Source: Alexandria via LeMat-Bulk, functional PBE-GGA.

It has space group R3m (No. 160, hexagonal axes), with a = 4.1146 Å, b = 4.1146 Å, c = 30.6476 Å, α = 90.00°, β = 90.00° and γ = 120.00°. The asymmetric unit holds Sr at (0.0000, 0.0000, 0.0000), Sr at (0.0000, 0.0000, 0.2103), Y at (0.0000, 0.0000, 0.7752) and Ni at (0.0000, 0.0000, 0.4839).

Its distance to the lowest polymorph of the same formula is 0.000 eV per formula unit. Its density is 3.6 g/cm³. The formation energy comes out at -0.016 eV/atom. Its magnetic moment is 0.00 Bohr magnetons per cell.

---

# 2
An optimized crystal structure of BaCaLaSm. Source: Alexandria via LeMat-Bulk, functional PBE-GGA.

It has space group F-43m (No. 216), with a = 8.747 Å, b = 8.747 Å, c = 8.747 Å, α = 90.00°, β = 90.00° and γ = 90.00°. The asymmetric unit holds Ba at (0.000, 0.000, 0.000), Ca at (0.250, 0.250, 0.750), La at (0.000, 0.000, 0.500) and Sm at (0.250, 0.250, 0.250).

Its density is 4.6 g/cm³. The formation energy comes out at 0.186 eV/atom. Its magnetic moment is 0.00 Bohr magnetons per cell.

---

# 3
An optimized crystal structure of Na3SnHg. Source: Alexandria via LeMat-Bulk, functional PBE-GGA.

It has space group P-1 (No. 2), with a = 5.718 Å, b = 7.203 Å, c = 7.313 Å, α = 105.47°, β = 97.10° and γ = 104.18°. The asymmetric unit holds Na at (0.101, 0.442, 0.192), Na at (0.119, 0.957, 0.225), Na at (0.321, 0.346, 0.638), Sn at (0.493, 0.211, 0.011) and Hg at (0.264, 0.816, 0.593).

Its distance to the lowest polymorph of the same formula is 0.000 eV per formula unit. Its density is 4.7 g/cm³. The formation energy comes out at -0.176 eV/atom. Its magnetic moment is 0.00 Bohr magnetons per cell.